Record 1
A plane-wave DFT calculation with PBE was carried out for Sm8CoIr3I4 after structural relaxation.

Values from the calculation:
M_tot: 0.0 μB per cell
Raw formation energy: -0.87 eV per atom

```
Sm8CoIr3I4
1.0
4.1434 2.3922 8.0209
-4.1434 2.3922 8.0209
0.0000 -4.7844 8.0209
Sm Co Ir I
8 1 3 4
Direct
0.2279 0.2279 0.2279
0.2353 0.7228 0.7228
0.2772 0.2772 0.7647
0.2772 0.7647 0.2772
0.7228 0.2353 0.7228
0.7228 0.7228 0.2353
0.7647 0.2772 0.2772
0.7721 0.7721 0.7721
0.5000 0.5000 0.5000
0.0000 0.0000 0.5000
0.0000 0.5000 0.0000
0.5000 0.0000 0.0000
0.0000 0.0000 0.0000
0.0000 0.5000 0.5000
0.5000 0.0000 0.5000
0.5000 0.5000 0.0000
```

Record 2
A plane-wave DFT calculation with PBE was carried out for C8Se after structural relaxation.

Values from the calculation:
M_tot: 0.0 μB per cell
Raw formation energy: 2.58 eV per atom

```
C8Se
1.0
-3.3867 3.3867 1.5960
3.3867 -3.3867 1.5960
3.3867 3.3867 -1.5960
C Se
8 1
Direct
0.0000 0.3944 0.3944
0.0000 0.6056 0.6056
0.2141 0.2141 0.4281
0.2141 0.7859 0.0000
0.3944 0.0000 0.3944
0.6056 0.0000 0.6056
0.7859 0.2141 0.0000
0.7859 0.7859 0.5719
0.0000 0.0000 0.0000
```

Record 3
A plane-wave DFT calculation with PBE was carried out for Mg2Ga2Ge after structural relaxation.

Values from the calculation:
M_tot: 0.0 μB per cell
Energy: -27.9 eV/cell

```
Mg2Ga2Ge
1.0
7.8746 0.0000 0.0000
0.0000 7.8746 0.0000
0.0000 0.0000 3.1692
Mg Ga Ge
4 4 2
Direct
0.1814 0.3186 0.0000
0.3186 0.8186 0.0000
0.6814 0.1814 0.0000
0.8186 0.6814 0.0000
0.1189 0.6189 0.5000
0.3811 0.1189 0.5000
0.6189 0.8811 0.5000
0.8811 0.3811 0.5000
0.0000 0.0000 0.5000
0.5000 0.5000 0.5000
```